The following is a DFT calculation (PBE-GGA) of an optimized crystal structure of Sc12Co3H5.

The structure in CIF format:
```
data_Sc12Co3H5
_symmetry_space_group_name_H-M 'P 1'
_symmetry_Int_Tables_number 1
_cell_length_a 11.919
_cell_length_b 11.919
_cell_length_c 11.919
_cell_angle_alpha 109.47
_cell_angle_beta 109.47
_cell_angle_gamma 109.47
loop_
_symmetry_equiv_pos_as_xyz
'x,y,z'
loop_
_atom_site_label
_atom_site_fract_x
_atom_site_fract_y
_atom_site_fract_z
Sc1 0.028 0.217 0.122
Sc2 0.028 0.310 0.905
Sc3 0.095 0.622 0.405
Sc4 0.095 0.717 0.690
Sc5 0.095 0.878 0.405
Sc6 0.095 0.972 0.690
Sc7 0.122 0.028 0.217
Sc8 0.122 0.595 0.905
Sc9 0.190 0.217 0.595
Sc10 0.190 0.472 0.595
Sc11 0.217 0.122 0.028
Sc12 0.217 0.595 0.190
Sc13 0.283 0.310 0.905
Sc14 0.283 0.472 0.378
Sc15 0.310 0.905 0.028
Sc16 0.310 0.905 0.283
Sc17 0.378 0.283 0.472
Sc18 0.378 0.595 0.905
Sc19 0.405 0.095 0.622
Sc20 0.405 0.095 0.878
Sc21 0.405 0.810 0.528
Sc22 0.405 0.810 0.783
Sc23 0.472 0.378 0.283
Sc24 0.472 0.595 0.190
Sc25 0.528 0.405 0.810
Sc26 0.528 0.622 0.717
Sc27 0.595 0.190 0.217
Sc28 0.595 0.190 0.472
Sc29 0.595 0.905 0.122
Sc30 0.595 0.905 0.378
Sc31 0.622 0.405 0.095
Sc32 0.622 0.717 0.528
Sc33 0.690 0.095 0.717
Sc34 0.690 0.095 0.972
Sc35 0.717 0.528 0.622
Sc36 0.717 0.690 0.095
Sc37 0.783 0.405 0.810
Sc38 0.783 0.878 0.972
Sc39 0.810 0.528 0.405
Sc40 0.810 0.783 0.405
Sc41 0.878 0.405 0.095
Sc42 0.878 0.972 0.783
Sc43 0.905 0.028 0.310
Sc44 0.905 0.122 0.595
Sc45 0.905 0.283 0.310
Sc46 0.905 0.378 0.595
Sc47 0.972 0.690 0.095
Sc48 0.972 0.783 0.878
Co1 0.125 0.250 0.375
Co2 0.125 0.375 0.750
Co3 0.250 0.375 0.125
Co4 0.250 0.875 0.625
Co5 0.375 0.125 0.250
Co6 0.375 0.750 0.125
Co7 0.625 0.250 0.875
Co8 0.625 0.875 0.750
Co9 0.750 0.125 0.375
Co10 0.750 0.625 0.875
Co11 0.875 0.625 0.250
Co12 0.875 0.750 0.625
H1 0.000 0.000 0.000
H2 0.000 0.000 0.500
H3 0.000 0.500 0.000
H4 0.000 0.500 0.500
H5 0.125 0.750 0.875
H6 0.125 0.875 0.250
H7 0.250 0.125 0.875
H8 0.250 0.625 0.375
H9 0.375 0.250 0.625
H10 0.375 0.625 0.750
H11 0.500 0.000 0.000
H12 0.500 0.000 0.500
H13 0.500 0.500 0.000
H14 0.500 0.500 0.500
H15 0.625 0.375 0.250
H16 0.625 0.750 0.375
H17 0.750 0.375 0.625
H18 0.750 0.875 0.125
H19 0.875 0.125 0.750
H20 0.875 0.250 0.125
```

SG	Ia-3d
calculated total energy	-5.98	eV per atom

The following is a DFT calculation (PBE-GGA) of an optimized crystal structure of ScCo2H2.

The structure in CIF format:
```
data_ScCo2H2
_symmetry_space_group_name_H-M 'P 1'
_symmetry_Int_Tables_number 1
_cell_length_a 6.312
_cell_length_b 6.312
_cell_length_c 2.616
_cell_angle_alpha 90.00
_cell_angle_beta 90.00
_cell_angle_gamma 90.00
loop_
_symmetry_equiv_pos_as_xyz
'x,y,z'
loop_
_atom_site_label
_atom_site_fract_x
_atom_site_fract_y
_atom_site_fract_z
Sc1 0.000 0.000 0.000
Sc2 0.500 0.500 0.000
Co1 0.125 0.375 0.000
Co2 0.375 0.875 0.000
Co3 0.625 0.125 0.000
Co4 0.875 0.625 0.000
H1 0.241 0.259 0.500
H2 0.259 0.759 0.500
H3 0.741 0.241 0.500
H4 0.759 0.741 0.500
```

SG	P4/mbm
calculated total energy	-5.12	eV per atom

The following is a DFT calculation (PBE-GGA) of an optimized crystal structure of ScCoH.

The structure in CIF format:
```
data_ScCoH
_symmetry_space_group_name_H-M 'P 1'
_symmetry_Int_Tables_number 1
_cell_length_a 5.213
_cell_length_b 4.322
_cell_length_c 5.945
_cell_angle_alpha 90.00
_cell_angle_beta 91.61
_cell_angle_gamma 90.00
loop_
_symmetry_equiv_pos_as_xyz
'x,y,z'
loop_
_atom_site_label
_atom_site_fract_x
_atom_site_fract_y
_atom_site_fract_z
Sc1 0.129 0.250 0.318
Sc2 0.349 0.250 0.825
Sc3 0.651 0.750 0.175
Sc4 0.871 0.750 0.682
Co1 0.165 0.750 0.063
Co2 0.354 0.750 0.508
Co3 0.646 0.250 0.492
Co4 0.835 0.250 0.937
H1 0.084 0.750 0.343
H2 0.270 0.750 0.796
H3 0.730 0.250 0.204
H4 0.916 0.250 0.657
```

SG	P2_1/m
calculated total energy	-5.94	eV per atom

The following is a DFT calculation (PBE-GGA) of an optimized crystal structure of ScCoH3.

The structure in CIF format:
```
data_ScCoH3
_symmetry_space_group_name_H-M 'P 1'
_symmetry_Int_Tables_number 1
_cell_length_a 5.186
_cell_length_b 5.186
_cell_length_c 5.186
_cell_angle_alpha 50.73
_cell_angle_beta 50.73
_cell_angle_gamma 50.73
loop_
_symmetry_equiv_pos_as_xyz
'x,y,z'
loop_
_atom_site_label
_atom_site_fract_x
_atom_site_fract_y
_atom_site_fract_z
Sc1 0.103 0.103 0.103
Sc2 0.897 0.897 0.897
Co1 0.311 0.311 0.311
Co2 0.689 0.689 0.689
H1 0.105 0.573 0.573
H2 0.427 0.427 0.895
H3 0.427 0.895 0.427
H4 0.573 0.105 0.573
H5 0.573 0.573 0.105
H6 0.895 0.427 0.427
```

SG	R-3m
calculated total energy	-5.06	eV per atom

The following is a DFT calculation (PBE-GGA) of an optimized crystal structure of ScCoH3.

The structure in CIF format:
```
data_ScCoH3
_symmetry_space_group_name_H-M 'P 1'
_symmetry_Int_Tables_number 1
_cell_length_a 5.834
_cell_length_b 2.865
_cell_length_c 5.116
_cell_angle_alpha 90.00
_cell_angle_beta 90.00
_cell_angle_gamma 90.00
loop_
_symmetry_equiv_pos_as_xyz
'x,y,z'
loop_
_atom_site_label
_atom_site_fract_x
_atom_site_fract_y
_atom_site_fract_z
Sc1 0.250 0.000 0.176
Sc2 0.750 0.000 0.824
Co1 0.250 0.500 0.752
Co2 0.750 0.500 0.248
H1 0.094 0.000 0.767
H2 0.250 0.500 0.433
H3 0.406 0.000 0.767
H4 0.594 0.000 0.233
H5 0.750 0.500 0.567
H6 0.906 0.000 0.233
```

SG	Pmma
calculated total energy	-4.89	eV per atom

The following is a DFT calculation (PBE-GGA) of an optimized crystal structure of ScCoH3.

The structure in CIF format:
```
data_ScCoH3
_symmetry_space_group_name_H-M 'P 1'
_symmetry_Int_Tables_number 1
_cell_length_a 5.494
_cell_length_b 5.494
_cell_length_c 4.343
_cell_angle_alpha 90.00
_cell_angle_beta 90.00
_cell_angle_gamma 142.91
loop_
_symmetry_equiv_pos_as_xyz
'x,y,z'
loop_
_atom_site_label
_atom_site_fract_x
_atom_site_fract_y
_atom_site_fract_z
Sc1 0.136 0.864 0.500
Sc2 0.864 0.136 0.000
Co1 0.420 0.580 0.468
Co2 0.580 0.420 0.968
H1 0.082 0.918 0.984
H2 0.302 0.698 0.243
H3 0.431 0.569 0.832
H4 0.569 0.431 0.332
H5 0.698 0.302 0.743
H6 0.918 0.082 0.484
```

SG	Cmc2_1
calculated total energy	-5.16	eV per atom

The following is a DFT calculation (PBE-GGA) of an optimized crystal structure of ScCoH3.

The structure in CIF format:
```
data_ScCoH3
_symmetry_space_group_name_H-M 'P 1'
_symmetry_Int_Tables_number 1
_cell_length_a 6.121
_cell_length_b 6.121
_cell_length_c 6.121
_cell_angle_alpha 60.00
_cell_angle_beta 60.00
_cell_angle_gamma 60.00
loop_
_symmetry_equiv_pos_as_xyz
'x,y,z'
loop_
_atom_site_label
_atom_site_fract_x
_atom_site_fract_y
_atom_site_fract_z
Sc1 0.000 0.000 0.000
Sc2 0.000 0.000 0.500
Sc3 0.000 0.500 0.000
Sc4 0.500 0.000 0.000
Co1 0.000 0.500 0.500
Co2 0.500 0.000 0.500
Co3 0.500 0.500 0.000
Co4 0.500 0.500 0.500
H1 0.172 0.172 0.578
H2 0.172 0.578 0.172
H3 0.172 0.578 0.578
H4 0.422 0.422 0.828
H5 0.422 0.828 0.422
H6 0.422 0.828 0.828
H7 0.578 0.172 0.172
H8 0.578 0.172 0.578
H9 0.578 0.578 0.172
H10 0.828 0.422 0.422
H11 0.828 0.422 0.828
H12 0.828 0.828 0.422
```

SG	Fd-3m
calculated total energy	-4.90	eV per atom

The following is a DFT calculation (PBE-GGA) of an optimized crystal structure of Sc5Co2H12.

The structure in CIF format:
```
data_Sc5Co2H12
_symmetry_space_group_name_H-M 'P 1'
_symmetry_Int_Tables_number 1
_cell_length_a 5.778
_cell_length_b 5.778
_cell_length_c 6.539
_cell_angle_alpha 103.98
_cell_angle_beta 103.98
_cell_angle_gamma 53.37
loop_
_symmetry_equiv_pos_as_xyz
'x,y,z'
loop_
_atom_site_label
_atom_site_fract_x
_atom_site_fract_y
_atom_site_fract_z
Sc1 0.000 0.000 0.000
Sc2 0.296 0.296 0.655
Sc3 0.327 0.327 0.148
Sc4 0.673 0.673 0.852
Sc5 0.704 0.704 0.345
Co1 0.242 0.758 0.500
Co2 0.758 0.242 0.500
H1 0.008 0.008 0.337
H2 0.082 0.589 0.910
H3 0.119 0.546 0.415
H4 0.411 0.918 0.090
H5 0.454 0.881 0.585
H6 0.489 0.489 0.657
H7 0.511 0.511 0.343
H8 0.546 0.119 0.415
H9 0.589 0.082 0.910
H10 0.881 0.454 0.585
H11 0.918 0.411 0.090
H12 0.992 0.992 0.663
```

SG	C2/m
calculated total energy	-4.97	eV per atom

The following is a DFT calculation (PBE-GGA) of an optimized crystal structure of ScCoH3.

The structure in CIF format:
```
data_ScCoH3
_symmetry_space_group_name_H-M 'P 1'
_symmetry_Int_Tables_number 1
_cell_length_a 5.736
_cell_length_b 5.736
_cell_length_c 4.780
_cell_angle_alpha 105.42
_cell_angle_beta 105.42
_cell_angle_gamma 32.31
loop_
_symmetry_equiv_pos_as_xyz
'x,y,z'
loop_
_atom_site_label
_atom_site_fract_x
_atom_site_fract_y
_atom_site_fract_z
Sc1 0.112 0.112 0.311
Sc2 0.888 0.888 0.689
Co1 0.344 0.344 0.137
Co2 0.656 0.656 0.863
H1 0.186 0.186 0.947
H2 0.307 0.307 0.448
H3 0.489 0.489 0.238
H4 0.511 0.511 0.762
H5 0.693 0.693 0.552
H6 0.814 0.814 0.053
```

SG	C2/m
calculated total energy	-5.02	eV per atom

The following is a DFT calculation (PBE-GGA) of an optimized crystal structure of Sc3CoH.

The structure in CIF format:
```
data_Sc3CoH
_symmetry_space_group_name_H-M 'P 1'
_symmetry_Int_Tables_number 1
_cell_length_a 4.294
_cell_length_b 4.294
_cell_length_c 4.294
_cell_angle_alpha 90.00
_cell_angle_beta 90.00
_cell_angle_gamma 90.00
loop_
_symmetry_equiv_pos_as_xyz
'x,y,z'
loop_
_atom_site_label
_atom_site_fract_x
_atom_site_fract_y
_atom_site_fract_z
Sc1 0.000 0.000 0.500
Sc2 0.000 0.500 0.000
Sc3 0.500 0.000 0.000
Co1 0.500 0.500 0.500
H1 0.000 0.000 0.000
```

SG	Pm-3m
calculated total energy	-5.96	eV per atom

The following is a DFT calculation (PBE-GGA) of an optimized crystal structure of ScCoH3.

The structure in CIF format:
```
data_ScCoH3
_symmetry_space_group_name_H-M 'P 1'
_symmetry_Int_Tables_number 1
_cell_length_a 2.770
_cell_length_b 4.885
_cell_length_c 4.885
_cell_angle_alpha 45.35
_cell_angle_beta 90.00
_cell_angle_gamma 90.00
loop_
_symmetry_equiv_pos_as_xyz
'x,y,z'
loop_
_atom_site_label
_atom_site_fract_x
_atom_site_fract_y
_atom_site_fract_z
Sc1 0.000 0.000 0.000
Co1 0.500 0.674 0.674
H1 0.000 0.455 0.942
H2 0.000 0.942 0.455
H3 0.500 0.852 0.852
```

SG	Amm2
calculated total energy	-4.80	eV per atom

The following is a DFT calculation (PBE-GGA) of an optimized crystal structure of Sc3CoH.

The structure in CIF format:
```
data_Sc3CoH
_symmetry_space_group_name_H-M 'P 1'
_symmetry_Int_Tables_number 1
_cell_length_a 5.910
_cell_length_b 5.910
_cell_length_c 9.006
_cell_angle_alpha 107.39
_cell_angle_beta 107.39
_cell_angle_gamma 32.68
loop_
_symmetry_equiv_pos_as_xyz
'x,y,z'
loop_
_atom_site_label
_atom_site_fract_x
_atom_site_fract_y
_atom_site_fract_z
Sc1 0.104 0.104 0.192
Sc2 0.150 0.150 0.578
Sc3 0.356 0.356 0.111
Sc4 0.644 0.644 0.889
Sc5 0.850 0.850 0.422
Sc6 0.896 0.896 0.808
Co1 0.474 0.474 0.634
Co2 0.526 0.526 0.366
H1 0.264 0.264 0.845
H2 0.736 0.736 0.155
```

SG	C2/m
calculated total energy	-6.20	eV per atom

The following is a DFT calculation (PBE-GGA) of an optimized crystal structure of ScCoH3.

The structure in CIF format:
```
data_ScCoH3
_symmetry_space_group_name_H-M 'P 1'
_symmetry_Int_Tables_number 1
_cell_length_a 3.337
_cell_length_b 3.337
_cell_length_c 3.337
_cell_angle_alpha 90.00
_cell_angle_beta 90.00
_cell_angle_gamma 90.00
loop_
_symmetry_equiv_pos_as_xyz
'x,y,z'
loop_
_atom_site_label
_atom_site_fract_x
_atom_site_fract_y
_atom_site_fract_z
Sc1 0.000 0.000 0.000
Co1 0.500 0.500 0.500
H1 0.000 0.500 0.500
H2 0.500 0.000 0.500
H3 0.500 0.500 0.000
```

SG	Pm-3m
calculated total energy	-5.16	eV per atom

The following is a DFT calculation (PBE-GGA) of an optimized crystal structure of ScCoH3.

The structure in CIF format:
```
data_ScCoH3
_symmetry_space_group_name_H-M 'P 1'
_symmetry_Int_Tables_number 1
_cell_length_a 4.586
_cell_length_b 4.548
_cell_length_c 9.200
_cell_angle_alpha 90.00
_cell_angle_beta 118.97
_cell_angle_gamma 90.00
loop_
_symmetry_equiv_pos_as_xyz
'x,y,z'
loop_
_atom_site_label
_atom_site_fract_x
_atom_site_fract_y
_atom_site_fract_z
Sc1 0.229 0.248 0.135
Sc2 0.229 0.252 0.635
Sc3 0.771 0.748 0.365
Sc4 0.771 0.752 0.865
Co1 0.427 0.749 0.539
Co2 0.427 0.751 0.039
Co3 0.573 0.249 0.961
Co4 0.573 0.251 0.461
H1 0.228 0.738 0.135
H2 0.228 0.762 0.635
H3 0.238 0.035 0.919
H4 0.238 0.465 0.419
H5 0.335 0.536 0.870
H6 0.335 0.964 0.370
H7 0.665 0.036 0.630
H8 0.665 0.464 0.130
H9 0.762 0.535 0.581
H10 0.762 0.965 0.081
H11 0.772 0.238 0.365
H12 0.772 0.262 0.865
```

SG	P2_1/c
calculated total energy	-5.11	eV per atom

The following is a DFT calculation (PBE-GGA) of an optimized crystal structure of ScCoH3.

The structure in CIF format:
```
data_ScCoH3
_symmetry_space_group_name_H-M 'P 1'
_symmetry_Int_Tables_number 1
_cell_length_a 5.762
_cell_length_b 5.762
_cell_length_c 4.975
_cell_angle_alpha 105.00
_cell_angle_beta 105.00
_cell_angle_gamma 29.98
loop_
_symmetry_equiv_pos_as_xyz
'x,y,z'
loop_
_atom_site_label
_atom_site_fract_x
_atom_site_fract_y
_atom_site_fract_z
Sc1 0.105 0.105 0.313
Sc2 0.895 0.895 0.687
Co1 0.354 0.354 0.155
Co2 0.646 0.646 0.845
H1 0.079 0.079 0.723
H2 0.201 0.201 0.018
H3 0.305 0.305 0.442
H4 0.695 0.695 0.558
H5 0.799 0.799 0.982
H6 0.921 0.921 0.277
```

SG	C2/m
calculated total energy	-4.96	eV per atom

The following is a DFT calculation (PBE-GGA) of an optimized crystal structure of ScCo2H7.

The structure in CIF format:
```
data_ScCo2H7
_symmetry_space_group_name_H-M 'P 1'
_symmetry_Int_Tables_number 1
_cell_length_a 4.624
_cell_length_b 4.624
_cell_length_c 3.312
_cell_angle_alpha 90.00
_cell_angle_beta 90.00
_cell_angle_gamma 113.64
loop_
_symmetry_equiv_pos_as_xyz
'x,y,z'
loop_
_atom_site_label
_atom_site_fract_x
_atom_site_fract_y
_atom_site_fract_z
Sc1 0.000 0.000 0.000
Co1 0.296 0.704 0.500
Co2 0.704 0.296 0.500
H1 0.061 0.325 0.500
H2 0.294 0.706 0.000
H3 0.325 0.061 0.500
H4 0.500 0.500 0.500
H5 0.675 0.939 0.500
H6 0.706 0.294 0.000
H7 0.939 0.675 0.500
```

SG	Cmmm
calculated total energy	-4.57	eV per atom

The following is a DFT calculation (PBE-GGA) of an optimized crystal structure of ScCo5H11.

The structure in CIF format:
```
data_ScCo5H11
_symmetry_space_group_name_H-M 'P 1'
_symmetry_Int_Tables_number 1
_cell_length_a 5.121
_cell_length_b 5.121
_cell_length_c 4.587
_cell_angle_alpha 105.88
_cell_angle_beta 105.88
_cell_angle_gamma 94.17
loop_
_symmetry_equiv_pos_as_xyz
'x,y,z'
loop_
_atom_site_label
_atom_site_fract_x
_atom_site_fract_y
_atom_site_fract_z
Sc1 0.000 0.000 0.000
Co1 0.010 0.368 0.704
Co2 0.368 0.010 0.704
Co3 0.500 0.500 0.000
Co4 0.632 0.990 0.296
Co5 0.990 0.632 0.296
H1 0.000 0.000 0.500
H2 0.161 0.678 0.671
H3 0.174 0.436 0.089
H4 0.307 0.307 0.624
H5 0.322 0.839 0.329
H6 0.436 0.174 0.089
H7 0.564 0.826 0.911
H8 0.678 0.161 0.671
H9 0.693 0.693 0.376
H10 0.826 0.564 0.911
H11 0.839 0.322 0.329
```

SG	C2/m
calculated total energy	-4.63	eV per atom